The following is a DFT calculation (PBE) of an optimized crystal structure of Zr3Ag3PdSe8.

Unit cell a=7.396 b=7.771 c=8.218 alpha=117.96 beta=90.00 gamma=118.42
Sites, in units of the cell vectors:
Ag 0.000 0.500 0.000
Ag 0.000 0.000 0.000
Ag 0.500 0.500 0.000
Zr 0.000 0.500 0.500
Zr 0.500 0.500 0.500
Zr 0.500 0.000 0.500
Se 0.760 0.982 0.717
Se 0.221 0.982 0.717
Se 0.779 0.018 0.283
Se 0.284 0.568 0.764
Se 0.716 0.432 0.236
Se 0.736 0.472 0.729
Se 0.264 0.528 0.271
Se 0.240 0.018 0.283
Pd 0.000 0.000 0.500

Summary:
Calculated total energy = -5.1841 eV per atom
Spin magnetization = 0.00 μB per cell
Uncorrected formation energy = -0.700 eV per atom
Space-group type = C2/m